1.
Material: ScInPb2
Method: DFT, PBEsol
State: optimized geometry

Cell and atoms, written as POSCAR:
```
ScInPb2
1.0
-2.265 2.300 4.799
2.265 -2.300 4.799
2.265 2.300 -4.799
Sc In Pb
1 1 2
Direct
0.000 0.000 0.000
0.500 0.500 0.000
0.249 0.749 0.500
0.751 0.251 0.500
```

***

2.
Material: ScIn2Pb
Method: DFT, PBEsol
State: optimized geometry

Cell and atoms, written as POSCAR:
```
ScIn2Pb
1.0
4.382 0.000 0.000
0.000 4.382 0.000
0.000 0.000 4.866
Sc In Pb
1 2 1
Direct
0.000 0.000 0.000
0.000 0.500 0.500
0.500 0.000 0.500
0.500 0.500 0.000
```

***

Ordered formation energy results: -0.8, -1.1; unit eV per formula unit.
Ordered energy results: -18.37, -17.70; unit eV for the cell shown.